# HoZnPd2 PBE relaxed
data_HoZnPd2
_space_group_name_H-M_alt 'P 1'
_space_group_IT_number 1
_cell_length_a 3.337
_cell_length_b 3.337
_cell_length_c 6.400
_cell_angle_alpha 90.00
_cell_angle_beta 90.00
_cell_angle_gamma 90.00
loop_
_space_group_symop_operation_xyz
'x,y,z'
loop_
_atom_site_label
_atom_site_type_symbol
_atom_site_fract_x
_atom_site_fract_y
_atom_site_fract_z
Zn1 Zn 0.500 0.500 0.000
Ho1 Ho 0.500 0.500 0.500
Pd1 Pd 0.000 0.000 0.780
Pd2 Pd 0.000 0.000 0.220
# space-group type = P4/mmm (123)
# formation energy = -0.703 eV/atom



# HoZn5Pd6 PBE relaxed
data_HoZn5Pd6
_space_group_name_H-M_alt 'P 1'
_space_group_IT_number 1
_cell_length_a 4.157
_cell_length_b 7.126
_cell_length_c 6.614
_cell_angle_alpha 90.00
_cell_angle_beta 108.27
_cell_angle_gamma 90.00
loop_
_space_group_symop_operation_xyz
'x,y,z'
loop_
_atom_site_label
_atom_site_type_symbol
_atom_site_fract_x
_atom_site_fract_y
_atom_site_fract_z
Zn1 Zn 0.665 0.500 0.329
Zn2 Zn 0.324 0.000 0.647
Zn3 Zn 0.000 0.500 0.000
Zn4 Zn 0.676 0.000 0.353
Zn5 Zn 0.335 0.500 0.671
Ho1 Ho 0.000 0.000 0.000
Pd1 Pd 0.830 0.737 0.659
Pd2 Pd 0.830 0.263 0.659
Pd3 Pd 0.500 0.267 0.000
Pd4 Pd 0.500 0.733 0.000
Pd5 Pd 0.170 0.737 0.341
Pd6 Pd 0.170 0.263 0.341
# space-group type = Cmmm (65)
# formation energy = -0.617 eV/atom



# Ho3Zn2Pd8 PBE relaxed
data_Ho3Zn2Pd8
_space_group_name_H-M_alt 'P 1'
_space_group_IT_number 1
_cell_length_a 5.389
_cell_length_b 5.389
_cell_length_c 10.202
_cell_angle_alpha 74.69
_cell_angle_beta 74.69
_cell_angle_gamma 60.00
loop_
_space_group_symop_operation_xyz
'x,y,z'
loop_
_atom_site_label
_atom_site_type_symbol
_atom_site_fract_x
_atom_site_fract_y
_atom_site_fract_z
Ho1 Ho 0.000 0.000 0.000
Ho2 Ho 0.809 0.809 0.572
Ho3 Ho 0.191 0.191 0.428
Zn1 Zn 0.633 0.633 0.102
Zn2 Zn 0.367 0.367 0.898
Pd1 Pd 0.715 0.715 0.855
Pd2 Pd 0.285 0.285 0.145
Pd3 Pd 0.228 0.733 0.307
Pd4 Pd 0.733 0.228 0.307
Pd5 Pd 0.733 0.733 0.307
Pd6 Pd 0.267 0.772 0.693
Pd7 Pd 0.772 0.267 0.693
Pd8 Pd 0.267 0.267 0.693
# space-group type = R-3m (166)
# formation energy = -0.589 eV/atom



What did the third record say?
# Ho3Zn2Pd8 PBE relaxed
data_Ho3Zn2Pd8
_space_group_name_H-M_alt 'P 1'
_space_group_IT_number 1
_cell_length_a 5.389
_cell_length_b 5.389
_cell_length_c 10.202
_cell_angle_alpha 74.69
_cell_angle_beta 74.69
_cell_angle_gamma 60.00
loop_
_space_group_symop_operation_xyz
'x,y,z'
loop_
_atom_site_label
_atom_site_type_symbol
_atom_site_fract_x
_atom_site_fract_y
_atom_site_fract_z
Ho1 Ho 0.000 0.000 0.000
Ho2 Ho 0.809 0.809 0.572
Ho3 Ho 0.191 0.191 0.428
Zn1 Zn 0.633 0.633 0.102
Zn2 Zn 0.367 0.367 0.898
Pd1 Pd 0.715 0.715 0.855
Pd2 Pd 0.285 0.285 0.145
Pd3 Pd 0.228 0.733 0.307
Pd4 Pd 0.733 0.228 0.307
Pd5 Pd 0.733 0.733 0.307
Pd6 Pd 0.267 0.772 0.693
Pd7 Pd 0.772 0.267 0.693
Pd8 Pd 0.267 0.267 0.693
# space-group type = R-3m (166)
# formation energy = -0.589 eV/atom